Entry 1:
Entry from Alexandria: a crystal of ScZnMo2 relaxed with PBEsol (meta-GGA SCAN).

```
ScZnMo2
1.0
2.757 0.000 0.010
0.000 4.251 0.000
-1.138 0.000 5.513
Mo Sc Zn
2 1 1
Direct
0.442 0.500 0.231
0.098 0.000 0.014
0.930 0.000 0.498
0.529 0.500 0.757
```

Output
The calculation puts the theoretical density at 7.76 g/cm³. The distance to the lowest polymorph of the same formula is 11.8 kJ/mol of atoms. As for the space group: Pm. Its magnetization is 0.00 μB per atom.

=====

Entry 2:
Entry from Alexandria: a crystal of ScZnMo2 relaxed with PBEsol (meta-GGA SCAN).

```
ScZnMo2
1.0
-0.900 2.565 -0.239
-4.303 -1.390 1.286
1.414 0.144 4.887
Mo Sc Zn
2 1 1
Direct
0.193 0.000 0.239
0.807 0.000 0.761
0.500 0.500 0.000
0.000 0.500 0.500
```

Output
The calculation puts the theoretical density at 7.78 g/cm³. The distance to the lowest polymorph of the same formula is 20.5 kJ/mol of atoms. As for the space group: P2/m. Its magnetization is 0.00 μB per atom.

=====

Number 1: D(E_F) 0.5283 states/eV per atom. Number 2: D(E_F) 0.6914 states/eV per atom.